No. 1
Computed, not measured: a relaxed Sc6Al2Ag crystal at the PBE level of DFT.

As for the formation enthalpy at 0 K: -0.237 eV per atom. The value obtained for the density of states at the Fermi level is 11.9 states/eV/f.u. The raw total energy is -100.9 eV/cell. Its total magnetic moment is 0.4 μB per formula unit. As for the volume: 389 Å³ per cell.

The structure in CIF format:
```
data_Sc6Al2Ag
_space_group_name_H-M_alt 'P 42/m n m'
_space_group_IT_number 136
_space_group_name_Hall '-P 4n 2n'
_cell_length_a 9.1467
_cell_length_b 9.1467
_cell_length_c 4.6475
_cell_angle_alpha 90.00
_cell_angle_beta 90.00
_cell_angle_gamma 90.00
loop_
_atom_site_label
_atom_site_type_symbol
_atom_site_fract_x
_atom_site_fract_y
_atom_site_fract_z
Sc1 Sc 0.0238 0.3207 0.0000
Sc2 Sc 0.1303 0.8697 0.5000
Al1 Al 0.2018 0.2018 0.5000
Ag1 Ag 0.0000 0.0000 0.0000
```

=====

No. 2
Computed, not measured: a relaxed Sc3Al2Ag2 crystal at the PBE level of DFT.

As for the formation enthalpy at 0 K: -0.298 eV per atom. The value obtained for the density of states at the Fermi level is 6.4 states/eV/f.u. The raw total energy is -68.5 eV/cell. Its total magnetic moment is 0.0 μB per formula unit. As for the volume: 274 Å³ per cell.

The structure in CIF format:
```
data_Sc3Al2Ag2
_space_group_name_H-M_alt 'C m m m'
_space_group_IT_number 65
_space_group_name_Hall '-C 2 2'
_cell_length_a 4.2855
_cell_length_b 20.0681
_cell_length_c 3.1916
_cell_angle_alpha 90.00
_cell_angle_beta 90.00
_cell_angle_gamma 90.00
loop_
_atom_site_label
_atom_site_type_symbol
_atom_site_fract_x
_atom_site_fract_y
_atom_site_fract_z
Sc1 Sc 0.0000 0.0000 0.0000
Sc2 Sc 0.0000 0.1581 0.0000
Al1 Al 0.0000 0.2859 0.5000
Ag1 Ag 0.0000 0.4239 0.5000
```

=====

No. 3
Computed, not measured: a relaxed ScAlAg crystal at the PBE level of DFT.

As for the formation enthalpy at 0 K: 0.280 eV per atom. The value obtained for the density of states at the Fermi level is 4.0 states/eV/f.u. The raw total energy is -48.3 eV/cell. Its total magnetic moment is 0.0 μB per formula unit. As for the volume: 278 Å³ per cell.

The structure in CIF format:
```
data_ScAlAg
_space_group_name_H-M_alt 'F -4 3 m'
_space_group_IT_number 216
_space_group_name_Hall 'F -4 2 3'
_cell_length_a 6.5263
_cell_length_b 6.5263
_cell_length_c 6.5263
_cell_angle_alpha 90.00
_cell_angle_beta 90.00
_cell_angle_gamma 90.00
loop_
_atom_site_label
_atom_site_type_symbol
_atom_site_fract_x
_atom_site_fract_y
_atom_site_fract_z
Sc1 Sc 0.0000 0.0000 0.0000
Al1 Al 0.2500 0.2500 0.7500
Ag1 Ag 0.2500 0.2500 0.2500
```

=====

No. 4
Computed, not measured: a relaxed Sc4Al2Ag crystal at the PBE level of DFT.

As for the formation enthalpy at 0 K: -0.209 eV per atom. The value obtained for the density of states at the Fermi level is 6.1 states/eV/f.u. The raw total energy is -111.4 eV/cell. Its total magnetic moment is 0.0 μB per formula unit. As for the volume: 462 Å³ per cell.

The structure in CIF format:
```
data_Sc4Al2Ag
_space_group_name_H-M_alt 'R -3 m'
_space_group_IT_number 166
_space_group_name_Hall '-R 3 2"'
_cell_length_a 4.8071
_cell_length_b 4.8071
_cell_length_c 23.0773
_cell_angle_alpha 90.00
_cell_angle_beta 90.00
_cell_angle_gamma 120.00
loop_
_atom_site_label
_atom_site_type_symbol
_atom_site_fract_x
_atom_site_fract_y
_atom_site_fract_z
Sc1 Sc 0.0000 0.0000 0.1171
Sc2 Sc 0.0000 0.0000 0.3698
Al1 Al 0.0000 0.0000 0.2473
Ag1 Ag 0.0000 0.0000 0.5000
```

=====

No. 5
Computed, not measured: a relaxed ScAlAg2 crystal at the PBE level of DFT.

As for the formation enthalpy at 0 K: -0.219 eV per atom. The value obtained for the density of states at the Fermi level is 2.1 states/eV/f.u. The raw total energy is -66.6 eV/cell. Its total magnetic moment is 0.0 μB per formula unit. As for the volume: 292 Å³ per cell.

The structure in CIF format:
```
data_ScAlAg2
_space_group_name_H-M_alt 'F -4 3 m'
_space_group_IT_number 216
_space_group_name_Hall 'F -4 2 3'
_cell_length_a 6.6338
_cell_length_b 6.6338
_cell_length_c 6.6338
_cell_angle_alpha 90.00
_cell_angle_beta 90.00
_cell_angle_gamma 90.00
loop_
_atom_site_label
_atom_site_type_symbol
_atom_site_fract_x
_atom_site_fract_y
_atom_site_fract_z
Sc1 Sc 0.0000 0.0000 0.0000
Al1 Al 0.2500 0.2500 0.7500
Ag1 Ag 0.0000 0.0000 0.5000
Ag2 Ag 0.2500 0.2500 0.2500
```

=====

No. 6
Computed, not measured: a relaxed ScAlAg crystal at the PBE level of DFT.

As for the formation enthalpy at 0 K: -0.144 eV per atom. The value obtained for the density of states at the Fermi level is 5.0 states/eV/f.u. The raw total energy is -53.4 eV/cell. Its total magnetic moment is 0.0 μB per formula unit. As for the volume: 258 Å³ per cell.

The structure in CIF format:
```
data_ScAlAg
_space_group_name_H-M_alt 'F -4 3 m'
_space_group_IT_number 216
_space_group_name_Hall 'F -4 2 3'
_cell_length_a 6.3686
_cell_length_b 6.3686
_cell_length_c 6.3686
_cell_angle_alpha 90.00
_cell_angle_beta 90.00
_cell_angle_gamma 90.00
loop_
_atom_site_label
_atom_site_type_symbol
_atom_site_fract_x
_atom_site_fract_y
_atom_site_fract_z
Sc1 Sc 0.0000 0.0000 0.0000
Al1 Al 0.0000 0.0000 0.5000
Ag1 Ag 0.2500 0.2500 0.2500
```

=====

No. 7
Computed, not measured: a relaxed Sc3Al4Ag2 crystal at the PBE level of DFT.

As for the formation enthalpy at 0 K: -0.414 eV per atom. The value obtained for the density of states at the Fermi level is 4.7 states/eV/f.u. The raw total energy is -86.8 eV/cell. Its total magnetic moment is 0.0 μB per formula unit. As for the volume: 340 Å³ per cell.

The structure in CIF format:
```
data_Sc3Al4Ag2
_space_group_name_H-M_alt 'C 1 2/m 1'
_space_group_IT_number 12
_cell_length_a 10.1536
_cell_length_b 4.5250
_cell_length_c 8.4318
_cell_angle_alpha 90.00
_cell_angle_beta 118.65
_cell_angle_gamma 90.00
loop_
_space_group_symop_operation_xyz
'x,y,z'
'-x,-y,-z'
'-x,y,-z'
'x,-y,z'
'x+1/2,y+1/2,z'
'-x+1/2,-y+1/2,-z'
'-x+1/2,y+1/2,-z'
'x+1/2,-y+1/2,z'
loop_
_atom_site_label
_atom_site_type_symbol
_atom_site_fract_x
_atom_site_fract_y
_atom_site_fract_z
Sc1 Sc 0.0000 0.0000 0.0000
Sc2 Sc 0.1641 0.5000 0.6672
Al1 Al 0.0472 0.0000 0.3801
Al2 Al 0.2345 0.5000 0.0683
Ag1 Ag 0.1149 0.5000 0.2812
```

=====

No. 8
Computed, not measured: a relaxed ScAl3Ag3 crystal at the PBE level of DFT.

As for the formation enthalpy at 0 K: 0.472 eV per atom. The value obtained for the density of states at the Fermi level is 4.5 states/eV/f.u. The raw total energy is -45.6 eV/cell. Its total magnetic moment is 0.0 μB per formula unit. As for the volume: 338 Å³ per cell.

The structure in CIF format:
```
data_ScAl3Ag3
_space_group_name_H-M_alt 'P m -3 n'
_space_group_IT_number 223
_space_group_name_Hall '-P 4n 2 3'
_cell_length_a 6.9654
_cell_length_b 6.9654
_cell_length_c 6.9654
_cell_angle_alpha 90.00
_cell_angle_beta 90.00
_cell_angle_gamma 90.00
loop_
_atom_site_label
_atom_site_type_symbol
_atom_site_fract_x
_atom_site_fract_y
_atom_site_fract_z
Sc1 Sc 0.0000 0.0000 0.0000
Al1 Al 0.0000 0.2500 0.5000
Ag1 Ag 0.0000 0.5000 0.2500
```

=====

No. 9
Computed, not measured: a relaxed ScAlAg2 crystal at the PBE level of DFT.

As for the formation enthalpy at 0 K: -0.196 eV per atom. The value obtained for the density of states at the Fermi level is 2.1 states/eV/f.u. The raw total energy is -16.6 eV/cell. Its total magnetic moment is 0.0 μB per formula unit. As for the volume: 74 Å³ per cell.

The structure in CIF format:
```
data_ScAlAg2
_space_group_name_H-M_alt 'P 4 m m'
_space_group_IT_number 99
_cell_length_a 3.3384
_cell_length_b 3.3384
_cell_length_c 6.6336
_cell_angle_alpha 90.00
_cell_angle_beta 90.00
_cell_angle_gamma 90.00
loop_
_space_group_symop_operation_xyz
'x,y,z'
'-y,x,z'
'-x,-y,z'
'y,-x,z'
'-x,y,z'
'y,x,z'
'x,-y,z'
'-y,-x,z'
loop_
_atom_site_label
_atom_site_type_symbol
_atom_site_fract_x
_atom_site_fract_y
_atom_site_fract_z
Sc1 Sc 0.0000 0.0000 0.0000
Al1 Al 0.5000 0.5000 0.7281
Ag1 Ag 0.0000 0.0000 0.5158
Ag2 Ag 0.5000 0.5000 0.2608
```

=====

No. 10
Computed, not measured: a relaxed Sc6AlAg5 crystal at the PBE level of DFT.

As for the formation enthalpy at 0 K: -0.303 eV per atom. The value obtained for the density of states at the Fermi level is 8.9 states/eV/f.u. The raw total energy is -59.6 eV/cell. Its total magnetic moment is 0.0 μB per formula unit. As for the volume: 242 Å³ per cell.

The structure in CIF format:
```
data_Sc6AlAg5
_space_group_name_H-M_alt 'P 1 2/m 1'
_space_group_IT_number 10
_cell_length_a 4.8220
_cell_length_b 6.9412
_cell_length_c 7.6299
_cell_angle_alpha 90.00
_cell_angle_beta 108.28
_cell_angle_gamma 90.00
loop_
_space_group_symop_operation_xyz
'x,y,z'
'-x,-y,-z'
'-x,y,-z'
'x,-y,z'
loop_
_atom_site_label
_atom_site_type_symbol
_atom_site_fract_x
_atom_site_fract_y
_atom_site_fract_z
Sc1 Sc 0.0000 0.2470 0.0000
Sc2 Sc 0.3334 0.2513 0.6669
Al1 Al 0.5000 0.5000 0.0000
Ag1 Ag 0.1591 0.5000 0.3183
Ag2 Ag 0.1688 0.0000 0.3374
Ag3 Ag 0.5000 0.0000 0.0000
```

=====

No. 11
Computed, not measured: a relaxed ScAlAg crystal at the PBE level of DFT.

As for the formation enthalpy at 0 K: -0.262 eV per atom. The value obtained for the density of states at the Fermi level is 1.8 states/eV/f.u. The raw total energy is -27.4 eV/cell. Its total magnetic moment is 0.0 μB per formula unit. As for the volume: 118 Å³ per cell.

The structure in CIF format:
```
data_ScAlAg
_space_group_name_H-M_alt 'P 4/n m m'
_space_group_IT_number 129
_cell_length_a 4.0378
_cell_length_b 4.0378
_cell_length_c 7.2134
_cell_angle_alpha 90.00
_cell_angle_beta 90.00
_cell_angle_gamma 90.00
loop_
_space_group_symop_operation_xyz
'x,y,z'
'-x,-y,-z'
'-y+1/2,x,z'
'y+1/2,-x,-z'
'-x+1/2,-y+1/2,z'
'x+1/2,y+1/2,-z'
'y,-x+1/2,z'
'-y,x+1/2,-z'
'x+1/2,-y,-z'
'-x+1/2,y,z'
'-y,-x,-z'
'y,x,z'
'-x,y+1/2,-z'
'x,-y+1/2,z'
'y+1/2,x+1/2,-z'
'-y+1/2,-x+1/2,z'
loop_
_atom_site_label
_atom_site_type_symbol
_atom_site_fract_x
_atom_site_fract_y
_atom_site_fract_z
Sc1 Sc 0.2500 0.2500 0.1583
Al1 Al 0.2500 0.7500 0.5000
Ag1 Ag 0.2500 0.2500 0.7526
```

=====

No. 12
Computed, not measured: a relaxed ScAlAg2 crystal at the PBE level of DFT.

As for the formation enthalpy at 0 K: -0.055 eV per atom. The value obtained for the density of states at the Fermi level is 2.1 states/eV/f.u. The raw total energy is -48.0 eV/cell. Its total magnetic moment is 0.0 μB per formula unit. As for the volume: 228 Å³ per cell.

The structure in CIF format:
```
data_ScAlAg2
_space_group_name_H-M_alt 'R 3 m'
_space_group_IT_number 160
_space_group_name_Hall 'R 3 -2"'
_cell_length_a 3.0796
_cell_length_b 3.0796
_cell_length_c 27.7731
_cell_angle_alpha 90.00
_cell_angle_beta 90.00
_cell_angle_gamma 120.00
loop_
_atom_site_label
_atom_site_type_symbol
_atom_site_fract_x
_atom_site_fract_y
_atom_site_fract_z
Sc1 Sc 0.0000 0.0000 0.0000
Al1 Al 0.0000 0.0000 0.7524
Ag1 Ag 0.0000 0.0000 0.2473
Ag2 Ag 0.0000 0.0000 0.4955
```